# 1
A plane-wave DFT calculation with GGA-PBE was carried out for a relaxed KMg6P7O24 crystal. Values from VASP.

Values from the calculation:
DFT total energy = -6.920 eV/atom
SG = P2_1/m, No. 11
Formation energy from raw total energies = -57.92 kcal/mol of atoms
Total magnetization = 0.00 μB/cell

Geometry as Quantum ESPRESSO input:
```
&SYSTEM
  ibrav = 0, nat = 76, ntyp = 4
/
ATOMIC_SPECIES
K 39.10 K.upf
Mg 24.30 Mg.upf
P 30.97 P.upf
O 16.00 O.upf
CELL_PARAMETERS angstrom
-3.634 2.346 -3.155
-1.434 -6.264 0.254
-15.626 4.441 21.299
ATOMIC_POSITIONS angstrom
K -5.328 -0.654 4.650
K -15.366 1.176 13.748
Mg -7.138 1.655 8.051
Mg -18.390 0.241 16.935
Mg -13.556 -1.132 10.346
Mg -2.304 0.281 1.463
Mg -10.281 1.879 7.161
Mg -16.604 0.403 19.675
Mg -10.413 -1.357 11.237
Mg -4.090 0.120 -1.277
Mg -9.121 -1.178 4.262
Mg -13.693 2.303 17.026
Mg -11.573 1.700 14.136
Mg -7.001 -1.781 1.372
P -8.086 -1.516 7.564
P -17.022 3.292 16.850
P -12.608 2.038 10.834
P -3.672 -2.770 1.548
P -11.074 -1.254 8.114
P -16.628 3.768 19.836
P -9.620 1.776 10.284
P -4.066 -3.245 -1.439
P -8.115 1.922 4.844
P -15.155 -0.668 17.064
P -12.579 -1.400 13.553
P -5.539 1.190 1.334
P -6.783 -3.566 4.189
P -13.911 4.088 14.208
O -8.633 3.237 4.245
O -14.687 -1.968 17.733
O -12.061 -2.714 14.153
O -6.007 2.490 0.665
O -8.260 -1.209 6.099
O -15.666 2.651 16.705
O -12.434 1.732 12.299
O -5.028 -2.128 1.693
O -7.347 -0.408 8.345
O -18.196 2.309 16.663
O -13.347 0.931 10.053
O -2.498 -1.787 1.734
O -11.591 -1.418 9.552
O -2.139 -0.039 -0.646
O -9.103 1.941 8.846
O -18.555 0.561 19.044
O -8.357 1.762 6.348
O -16.441 -0.073 17.643
O -12.337 -1.239 12.050
O -4.253 0.595 0.754
O -8.450 0.716 3.997
O -14.028 0.314 16.833
O -12.244 -0.194 14.401
O -6.666 0.209 1.565
O -7.312 -2.296 3.537
O -13.382 2.818 14.861
O -9.514 -1.633 8.307
O -17.232 3.876 18.340
O -11.180 2.156 10.091
O -3.462 -3.353 0.058
O -6.464 2.014 4.828
O -15.684 -1.078 15.553
O -14.230 -1.491 13.570
O -5.010 1.600 2.845
O -11.220 0.161 7.584
O -16.364 2.319 20.205
O -9.474 0.361 10.814
O -4.330 -1.797 -1.807
O -10.218 3.947 6.906
O -16.787 -1.631 20.094
O -10.476 -3.424 11.492
O -3.907 2.153 -1.696
O -5.556 -3.482 5.072
O -15.138 4.005 13.325
O -7.456 -2.906 7.812
O -17.184 4.550 15.965
O -13.238 3.429 10.586
O -3.510 -4.028 2.433
```

# 2
A plane-wave DFT calculation with GGA-PBE was carried out for a relaxed KMgPO2 crystal. Values from VASP.

Values from the calculation:
DFT total energy = -3.940 eV/atom
SG = P4/mmm, No. 123
Formation energy from raw total energies = -7.77 kcal/mol of atoms
Total magnetization = 4.01 μB/cell

Geometry as Quantum ESPRESSO input:
```
&SYSTEM
  ibrav = 0, nat = 5, ntyp = 4
/
ATOMIC_SPECIES
P 30.97 P.upf
K 39.10 K.upf
Mg 24.30 Mg.upf
O 16.00 O.upf
CELL_PARAMETERS angstrom
4.240 0.000 0.000
0.000 4.240 0.000
0.000 0.000 5.196
ATOMIC_POSITIONS angstrom
P 0.000 0.000 2.598
K 2.120 2.120 2.598
Mg 0.000 0.000 0.000
O 0.000 2.120 0.000
O 2.120 0.000 0.000
```

# 3
A plane-wave DFT calculation with GGA-PBE was carried out for a relaxed KMg3P4O12 crystal. Values from VASP.

Values from the calculation:
DFT total energy = -6.332 eV/atom
SG = R32, No. 155
Formation energy from raw total energies = -45.68 kcal/mol of atoms
Total magnetization = 1.00 μB/cell

Geometry as Quantum ESPRESSO input:
```
&SYSTEM
  ibrav = 0, nat = 20, ntyp = 4
/
ATOMIC_SPECIES
K 39.10 K.upf
Mg 24.30 Mg.upf
P 30.97 P.upf
O 16.00 O.upf
CELL_PARAMETERS angstrom
-5.433 -3.697 -0.415
4.728 -4.515 0.783
-0.503 2.585 6.035
ATOMIC_POSITIONS angstrom
K 0.000 0.000 0.000
Mg -1.060 -4.049 0.100
Mg -2.625 -0.118 3.259
Mg 2.477 -1.460 3.043
P -4.955 -2.463 2.689
P 1.507 -0.124 5.964
P 1.636 -5.854 0.952
P -0.604 -2.814 3.201
O -1.377 -1.765 3.978
O -2.670 -5.446 0.499
O 3.654 -3.157 3.704
O -2.796 0.161 5.402
O 2.433 -5.322 2.148
O -0.001 -0.153 6.232
O -4.425 -3.809 2.184
O 0.255 -5.592 0.344
O 2.464 -0.797 4.975
O -4.350 -1.209 3.327
O -1.332 -3.742 2.248
O 0.897 -2.935 3.379
```

# 4
A plane-wave DFT calculation with GGA-PBE was carried out for a relaxed KMg4P3O12 crystal. Values from VASP.

Values from the calculation:
DFT total energy = -6.752 eV/atom
SG = Pnnm, No. 58
Formation energy from raw total energies = -59.77 kcal/mol of atoms
Total magnetization = 0.00 μB/cell

Geometry as Quantum ESPRESSO input:
```
&SYSTEM
  ibrav = 0, nat = 80, ntyp = 4
/
ATOMIC_SPECIES
K 39.10 K.upf
Mg 24.30 Mg.upf
O 16.00 O.upf
P 30.97 P.upf
CELL_PARAMETERS angstrom
6.234 0.000 0.000
0.000 9.698 0.000
0.000 0.000 16.550
ATOMIC_POSITIONS angstrom
K 0.000 1.959 8.859
K 0.000 7.739 7.691
K 3.117 6.808 15.967
K 3.117 2.890 0.584
Mg 0.000 5.024 14.215
Mg 0.000 4.674 2.335
Mg 3.117 0.175 10.611
Mg 3.117 9.523 5.940
Mg 1.538 7.276 11.617
Mg 1.538 2.422 4.933
Mg 1.579 2.427 13.208
Mg 1.579 7.271 3.342
Mg 4.695 2.422 4.933
Mg 4.695 7.276 11.617
Mg 4.655 7.271 3.342
Mg 4.655 2.427 13.208
Mg 3.117 4.502 9.796
Mg 3.117 5.196 6.755
Mg 0.000 9.351 15.030
Mg 0.000 0.347 1.521
O 0.000 8.561 12.027
O 0.000 1.137 4.524
O 3.117 3.712 12.799
O 3.117 5.986 3.751
O 1.288 0.958 11.278
O 1.288 8.740 5.272
O 1.829 5.807 13.548
O 1.829 3.891 3.003
O 4.946 8.740 5.272
O 4.946 0.958 11.278
O 4.405 3.891 3.003
O 4.405 5.807 13.548
O 0.000 1.037 13.388
O 0.000 8.661 3.162
O 3.117 5.886 11.438
O 3.117 3.812 5.113
O 0.000 5.974 11.270
O 0.000 3.724 5.281
O 3.117 1.125 13.556
O 3.117 8.573 2.994
O 1.260 3.984 10.294
O 1.260 5.714 6.257
O 1.857 8.833 14.532
O 1.857 0.865 2.018
O 4.973 5.714 6.257
O 4.973 3.984 10.294
O 4.377 0.865 2.018
O 4.377 8.833 14.532
O 0.000 3.723 12.485
O 0.000 5.975 4.066
O 3.117 8.572 12.341
O 3.117 1.126 4.210
O 0.000 1.282 16.216
O 0.000 8.416 0.334
O 3.117 6.131 8.609
O 3.117 3.567 7.941
O 1.224 3.246 15.074
O 1.224 6.452 1.477
O 1.892 8.095 9.752
O 1.892 1.603 6.799
O 5.009 6.452 1.477
O 5.009 3.246 15.074
O 4.341 1.603 6.799
O 4.341 8.095 9.752
O 0.000 3.509 0.757
O 0.000 6.189 15.794
O 3.117 8.358 7.519
O 3.117 1.340 9.032
P 0.000 0.414 11.927
P 0.000 9.284 4.623
P 3.117 5.263 12.899
P 3.117 4.435 3.652
P 0.000 4.423 11.036
P 0.000 5.275 5.514
P 3.117 9.272 13.790
P 3.117 0.426 2.761
P 0.000 2.814 15.956
P 0.000 6.884 0.595
P 3.117 7.663 8.870
P 3.117 2.035 7.680
```

# 5
A plane-wave DFT calculation with GGA-PBE was carried out for a relaxed KMgP2O crystal. Values from VASP.

Values from the calculation:
DFT total energy = -2.445 eV/atom
SG = P4/mmm, No. 123
Formation energy from raw total energies = 28.80 kcal/mol of atoms
Total magnetization = 2.70 μB/cell

Geometry as Quantum ESPRESSO input:
```
&SYSTEM
  ibrav = 0, nat = 5, ntyp = 4
/
ATOMIC_SPECIES
P 30.97 P.upf
K 39.10 K.upf
Mg 24.30 Mg.upf
O 16.00 O.upf
CELL_PARAMETERS angstrom
5.373 0.000 0.000
0.000 5.373 0.000
0.000 0.000 4.445
ATOMIC_POSITIONS angstrom
P 0.000 2.687 0.000
P 2.687 0.000 0.000
K 0.000 0.000 0.000
Mg 2.687 2.687 2.222
O 0.000 0.000 2.222
```

# 6
A plane-wave DFT calculation with GGA-PBE was carried out for a relaxed KMgPO4 crystal. Values from VASP.

Values from the calculation:
DFT total energy = -6.448 eV/atom
SG = F-43m, No. 216
Formation energy from raw total energies = -56.67 kcal/mol of atoms
Total magnetization = 0.00 μB/cell

Geometry as Quantum ESPRESSO input:
```
&SYSTEM
  ibrav = 0, nat = 7, ntyp = 4
/
ATOMIC_SPECIES
K 39.10 K.upf
Mg 24.30 Mg.upf
P 30.97 P.upf
O 16.00 O.upf
CELL_PARAMETERS angstrom
5.628 0.000 0.000
2.814 4.874 0.000
2.814 1.625 4.595
ATOMIC_POSITIONS angstrom
K 8.442 4.874 3.446
Mg 5.628 3.249 2.297
P 2.814 1.625 1.149
O 5.628 3.249 4.200
O 4.074 2.352 1.663
O 5.628 5.043 1.663
O 7.181 2.352 1.663
```

# 7
A plane-wave DFT calculation with GGA-PBE was carried out for a relaxed K2MgP2O6 crystal. Values from VASP.

Values from the calculation:
DFT total energy = -6.357 eV/atom
SG = R-3m, No. 166
Formation energy from raw total energies = -53.61 kcal/mol of atoms
Total magnetization = 0.00 μB/cell

Geometry as Quantum ESPRESSO input:
```
&SYSTEM
  ibrav = 0, nat = 11, ntyp = 4
/
ATOMIC_SPECIES
K 39.10 K.upf
Mg 24.30 Mg.upf
P 30.97 P.upf
O 16.00 O.upf
CELL_PARAMETERS angstrom
5.587 0.000 0.000
2.794 4.839 0.000
2.794 1.613 5.510
ATOMIC_POSITIONS angstrom
K 8.381 4.839 3.727
K 2.794 1.613 1.783
Mg 0.000 0.000 0.000
P 5.587 3.226 3.856
P 5.587 3.226 1.654
O 6.875 3.969 1.236
O 4.300 3.969 1.236
O 5.587 1.739 1.236
O 5.587 4.713 4.274
O 6.875 2.483 4.274
O 4.300 2.483 4.274
```

- Number 5 is which compound?
  KMgP2O